PBE Ba2ZnBiO5, relaxed; total energy = -5.577 eV/atom; total magnetic moment = 0.0 μB/cell; raw formation energy = -1583 kJ/mol of formula units; space-group type = Cmc2_1 (36)
1.0
3.624 0.000 0.000
-1.812 7.514 0.000
0.000 0.000 11.667
Ba Zn Bi O
4 2 2 10
Cartesian
1.812 5.511 9.595 Ba
0.000 1.393 7.826 Ba
0.000 2.003 3.761 Ba
1.812 6.122 1.992 Ba
1.812 0.745 10.902 Zn
0.000 6.769 5.068 Zn
1.812 4.396 6.189 Bi
0.000 3.118 0.355 Bi
0.000 5.271 0.024 O
1.812 2.837 10.595 O
0.000 7.449 9.147 O
0.000 4.269 7.650 O
1.812 6.749 6.023 O
1.812 2.243 5.858 O
0.000 4.677 4.761 O
1.812 0.066 3.313 O
1.812 3.245 1.817 O
0.000 0.765 0.189 O

PBE Dy2Zn2Ir, relaxed; total energy = -4.677 eV/atom; total magnetic moment = 0.0 μB/cell; space-group type = C2/m (12)
1.0
-2.424 -2.786 -1.340
2.905 -4.297 -2.080
-2.158 -5.214 8.987
Dy Zn Ir
4 4 2
Cartesian
-1.401 -5.014 1.442 Dy
-3.369 -8.293 6.064 Dy
-0.275 -7.283 4.125 Dy
1.693 -4.004 -0.497 Dy
-0.813 -4.128 4.297 Zn
-1.020 -10.033 5.432 Zn
-0.863 -8.169 1.271 Zn
-0.656 -2.264 0.135 Zn
-2.705 -5.671 5.169 Ir
1.028 -6.625 0.398 Ir

PBE AsSF, relaxed; offset from the most stable computed form = 9.3 kJ/mol of formula units; total energy = -4.515 eV/atom; total magnetic moment = 0.0 μB/cell; raw formation energy = -279 kJ/mol of formula units; space-group type = P-1 (2)
1.0
0.367 3.081 3.160
0.799 -3.004 4.716
5.324 11.771 -3.817
As S F
2 2 2
Cartesian
3.907 9.488 -0.972 As
2.583 2.360 5.031 As
3.925 7.909 2.128 S
2.564 3.938 1.931 S
5.110 10.610 -0.196 F
1.380 1.238 4.255 F

PBE SnSe3O, relaxed; offset from the most stable computed form = 0.0 kJ/mol of formula units; total energy = -3.686 eV/atom; total magnetic moment = 0.0 μB/cell; raw formation energy = 95 kJ/mol of formula units; space-group type = Pm-3m (221)
1.0
-3.487 -0.606 2.987
3.039 -0.356 3.476
-0.226 4.577 0.666
O Sn Se
1 1 3
Cartesian
0.000 0.000 0.000 O
-0.336 1.807 3.564 Sn
1.520 -0.178 1.738 Se
-0.113 2.289 0.333 Se
-1.743 -0.303 1.493 Se